! YMo2 (SCAN, single point on PBEsol structure); values from VASP
! Energy of formation = 417 meV/atom
! Space group = Cmcm
! DOS at the Fermi energy = 0.85 states/eV per atom
! Crystal system = orthorhombic
&SYSTEM
  ibrav = 0, nat = 6, ntyp = 2
/
ATOMIC_SPECIES
Mo 95.94 Mo.upf
Y 88.91 Y.upf
CELL_PARAMETERS angstrom
3.2281 0.0000 0.0000
0.0000 4.9019 0.0000
-1.6140 0.0000 7.0081
ATOMIC_POSITIONS crystal
Mo 0.5696 0.7500 0.1391
Mo 0.9330 0.7500 0.8661
Y 0.2579 0.7500 0.5157
Mo 0.4304 0.2500 0.8609
Y 0.7421 0.2500 0.4843
Mo 0.0670 0.2500 0.1339

=====

! TcP3 (SCAN, single point on PBEsol structure); values from VASP
! Energy of formation = 488 meV/atom
! Space group = Cmmm
! ΔE to the lowest computed polymorph = 1.003 eV/atom
! DOS at the Fermi energy = 0.59 states/eV per atom
! Crystal system = orthorhombic
&SYSTEM
  ibrav = 0, nat = 4, ntyp = 2
/
ATOMIC_SPECIES
Tc 98.00 Tc.upf
P 30.97 P.upf
CELL_PARAMETERS angstrom
-0.2619 2.9381 0.2096
-4.2035 -0.3240 -0.7113
0.4709 -0.2605 4.2415
ATOMIC_POSITIONS crystal
Tc 0.0000 0.0000 0.0000
P 0.5000 0.0000 0.5000
P 0.5000 0.5000 0.0000
P 0.0000 0.5000 0.5000

=====

! SrGaRe2Pb (SCAN, single point on PBEsol structure); values from VASP
! Energy of formation = 1910 meV/atom
! Space group = P4/mmm
! DOS at the Fermi energy = 0.81 states/eV per atom
! Crystal system = tetragonal
&SYSTEM
  ibrav = 0, nat = 5, ntyp = 4
/
ATOMIC_SPECIES
Re 186.21 Re.upf
Ga 69.72 Ga.upf
Sr 87.62 Sr.upf
Pb 207.20 Pb.upf
CELL_PARAMETERS angstrom
5.1037 0.0000 0.0000
0.0000 5.1037 0.0000
0.0000 0.0000 5.2255
ATOMIC_POSITIONS crystal
Re 0.0000 0.5000 0.0000
Ga 0.0000 0.0000 0.5000
Sr 0.5000 0.5000 0.5000
Pb 0.0000 0.0000 0.0000
Re 0.5000 0.0000 0.0000

=====

! Zr2TlSi (SCAN, single point on PBEsol structure); values from VASP
! Space group = Cmmm
! Formation energy (no corrections) = -0.303 eV per atom
! DOS at the Fermi energy = 0.52 states/eV per atom
! Crystal system = orthorhombic
&SYSTEM
  ibrav = 0, nat = 4, ntyp = 3
/
ATOMIC_SPECIES
Si 28.09 Si.upf
Zr 91.22 Zr.upf
Tl 204.38 Tl.upf
CELL_PARAMETERS angstrom
-2.4482 -0.1166 -1.8944
-0.3095 -5.0696 0.7119
-2.9268 2.0950 3.6536
ATOMIC_POSITIONS crystal
Si 0.5000 0.0000 0.0000
Zr 0.0000 0.0000 0.5000
Zr 0.0000 0.5000 0.0000
Tl 0.5000 0.5000 0.5000

=====

! Ta5Mo2 (SCAN, single point on PBEsol structure); values from VASP
! Energy of formation = -74 meV/atom
! Space group = I4/mmm
! ΔE to the lowest computed polymorph = 0.030 eV/atom
! DOS at the Fermi energy = 0.96 states/eV per atom
! Crystal system = tetragonal
&SYSTEM
  ibrav = 0, nat = 7, ntyp = 2
/
ATOMIC_SPECIES
Ta 180.95 Ta.upf
Mo 95.94 Mo.upf
CELL_PARAMETERS angstrom
-0.7306 -2.1852 2.2408
-1.9062 -1.5144 -2.0983
10.1495 -4.5746 -3.4571
ATOMIC_POSITIONS crystal
Ta 0.5732 0.5732 0.1463
Ta 0.8530 0.8530 0.7060
Ta 0.0000 0.0000 0.0000
Ta 0.1470 0.1470 0.2940
Ta 0.4268 0.4268 0.8537
Mo 0.7168 0.7168 0.4336
Mo 0.2832 0.2832 0.5664

=====

! HfIn2OsO (SCAN, single point on PBEsol structure); values from VASP
! Space group = P4/mmm
! Formation energy (no corrections) = 0.031 eV per atom
! DOS at the Fermi energy = 0.54 states/eV per atom
! Crystal system = tetragonal
&SYSTEM
  ibrav = 0, nat = 5, ntyp = 4
/
ATOMIC_SPECIES
Os 190.23 Os.upf
O 16.00 O.upf
Hf 178.49 Hf.upf
In 114.82 In.upf
CELL_PARAMETERS angstrom
3.7656 0.0000 0.0000
0.0000 4.8498 0.0000
0.0000 0.0000 4.8498
ATOMIC_POSITIONS crystal
Os 0.5000 0.0000 0.0000
O 0.0000 0.0000 0.0000
Hf 0.5000 0.5000 0.5000
In 0.0000 0.0000 0.5000
In 0.0000 0.5000 0.0000

=====

! Cd43Pd8 (SCAN, single point on PBEsol structure); values from VASP
! Energy of formation = -198 meV/atom
! Space group = R3m
! DOS at the Fermi energy = 0.10 states/eV per atom
! Crystal system = trigonal
&SYSTEM
  ibrav = 0, nat = 51, ntyp = 2
/
ATOMIC_SPECIES
Pd 106.42 Pd.upf
Cd 112.41 Cd.upf
CELL_PARAMETERS angstrom
-2.6053 -1.0051 -9.5169
9.4712 -1.7152 -2.3923
-1.4163 -9.7114 1.4327
ATOMIC_POSITIONS crystal
Pd 0.1736 0.1736 0.8200
Cd 0.0032 0.3521 0.0032
Cd 0.5005 0.8563 0.5005
Cd 0.3521 0.0032 0.0032
Pd 0.8200 0.1736 0.1736
Cd 0.0001 0.6451 0.0001
Cd 0.2866 0.2866 0.0530
Cd 0.8563 0.5005 0.5005
Cd 0.0493 0.6966 0.6966
Cd 0.3925 0.6047 0.3925
Cd 0.6451 0.0001 0.0001
Cd 0.3078 0.6953 0.9550
Cd 0.8071 0.5485 0.8071
Cd 0.6953 0.3078 0.9550
Cd 0.0001 0.0001 0.6451
Cd 0.1080 0.9053 0.9053
Pd 0.6718 0.3294 0.6718
Cd 0.9053 0.1080 0.9053
Cd 0.4961 0.4961 0.1396
Cd 0.6966 0.0493 0.6966
Cd 0.1908 0.1908 0.5389
Cd 0.8097 0.4557 0.1951
Pd 0.6718 0.6718 0.3294
Cd 0.9053 0.9053 0.1080
Cd 0.0530 0.2866 0.2866
Cd 0.9550 0.3078 0.6953
Cd 0.2866 0.0530 0.2866
Cd 0.1396 0.4961 0.4961
Cd 0.6966 0.6966 0.0493
Cd 0.8097 0.1951 0.4557
Cd 0.5005 0.5005 0.8563
Cd 0.9550 0.6953 0.3078
Cd 0.0032 0.0032 0.3521
Pd 0.3286 0.3286 0.3286
Pd 0.3294 0.6718 0.6718
Pd 0.8322 0.8322 0.8322
Cd 0.4557 0.8097 0.1951
Cd 0.5485 0.8071 0.8071
Pd 0.1736 0.8200 0.1736
Cd 0.5389 0.1908 0.1908
Cd 0.6953 0.9550 0.3078
Cd 0.4961 0.1396 0.4961
Cd 0.4557 0.1951 0.8097
Cd 0.3925 0.3925 0.6047
Cd 0.1951 0.8097 0.4557
Cd 0.8071 0.8071 0.5485
Cd 0.6047 0.3925 0.3925
Cd 0.1908 0.5389 0.1908
Cd 0.1951 0.4557 0.8097
Cd 0.6037 0.6037 0.6037
Cd 0.3078 0.9550 0.6953

=====

! ReSbIr (SCAN, single point on PBEsol structure); values from VASP
! Space group = F-43m
! Formation energy (no corrections) = 0.491 eV per atom
! DOS at the Fermi energy = 1.26 states/eV per atom
! Crystal system = cubic
&SYSTEM
  ibrav = 0, nat = 3, ntyp = 3
/
ATOMIC_SPECIES
Re 186.21 Re.upf
Sb 121.76 Sb.upf
Ir 192.22 Ir.upf
CELL_PARAMETERS angstrom
4.2994 0.0000 0.0000
2.1497 3.7234 0.0000
2.1497 1.2411 3.5105
ATOMIC_POSITIONS crystal
Re 0.0000 0.0000 0.0000
Sb 0.5000 0.5000 0.5000
Ir 0.2500 0.2500 0.2500

=====

! BaSi2Rh (SCAN, single point on PBEsol structure); values from VASP
! Space group = P4mm
! Formation energy (no corrections) = -0.185 eV per atom
! DOS at the Fermi energy = 0.45 states/eV per atom
! Crystal system = tetragonal
&SYSTEM
  ibrav = 0, nat = 4, ntyp = 3
/
ATOMIC_SPECIES
Rh 102.91 Rh.upf
Ba 137.33 Ba.upf
Si 28.09 Si.upf
CELL_PARAMETERS angstrom
3.2394 0.0000 0.0000
0.0000 3.2394 0.0000
0.0000 0.0000 7.3499
ATOMIC_POSITIONS crystal
Rh 0.5000 0.5000 0.8497
Ba 0.0000 0.0000 0.4954
Si 0.0000 0.0000 0.9800
Si 0.5000 0.5000 0.1749

=====

! Tl2Se (SCAN, single point on PBEsol structure); values from VASP
! Space group = Cmc2_1
! Formation energy (no corrections) = -0.389 eV per atom
! ΔE to the lowest computed polymorph = 0.003 eV/atom
! Crystal system = orthorhombic
&SYSTEM
  ibrav = 0, nat = 6, ntyp = 2
/
ATOMIC_SPECIES
Tl 204.38 Tl.upf
Se 78.96 Se.upf
CELL_PARAMETERS angstrom
4.3058 0.0000 0.0000
-2.1529 6.2122 0.0000
0.0000 0.0000 6.7439
ATOMIC_POSITIONS crystal
Tl 0.1239 0.2478 0.5580
Se 0.7857 0.5714 0.4544
Tl 0.4098 0.8197 0.6540
Tl 0.8761 0.7522 0.0580
Tl 0.5902 0.1803 0.1540
Se 0.2143 0.4286 0.9544

=====

! BaCaP4O12 (SCAN, single point on PBEsol structure); values from VASP
! Space group = P2_1/c
! Formation energy (no corrections) = -2.795 eV per atom
! DOS at the Fermi energy = 0.00 states/eV per atom
! Crystal system = monoclinic
&SYSTEM
  ibrav = 0, nat = 72, ntyp = 4
/
ATOMIC_SPECIES
O 16.00 O.upf
Ca 40.08 Ca.upf
Ba 137.33 Ba.upf
P 30.97 P.upf
CELL_PARAMETERS angstrom
-0.6318 -6.2871 -3.5723
0.0275 -4.5803 8.0564
-15.1685 1.3459 0.8169
ATOMIC_POSITIONS crystal
O 0.9249 0.6503 0.0634
O 0.7851 0.6861 0.5874
O 0.2125 0.0974 0.9132
Ca 0.4976 0.7651 0.8443
O 0.7320 0.7059 0.7522
O 0.6699 0.3931 0.2462
O 0.0751 0.3497 0.9366
O 0.5837 0.5093 0.6554
O 0.4135 0.3164 0.9111
O 0.7875 0.9026 0.0868
O 0.9135 0.1836 0.4111
Ba 0.9854 0.3902 0.1323
O 0.2990 0.3669 0.6681
O 0.2701 0.2244 0.0535
O 0.5751 0.1503 0.4366
O 0.5766 0.0015 0.8076
P 0.3666 0.5193 0.6733
O 0.4234 0.9985 0.1924
O 0.7149 0.1861 0.9126
O 0.1966 0.0387 0.3854
P 0.6334 0.4807 0.3267
O 0.6966 0.4613 0.8854
P 0.2349 0.2531 0.9578
P 0.2363 0.3976 0.3217
O 0.1699 0.1069 0.7462
O 0.2851 0.8139 0.0874
O 0.8301 0.8931 0.2538
P 0.7349 0.2469 0.4578
O 0.5865 0.6836 0.0889
O 0.6498 0.3448 0.0377
O 0.8502 0.8448 0.4623
P 0.7651 0.7469 0.0422
P 0.6273 0.3400 0.9394
Ca 0.5024 0.2349 0.1557
O 0.7299 0.7756 0.9465
Ca 0.9976 0.7349 0.3443
O 0.3502 0.6552 0.9623
O 0.2299 0.7244 0.4465
O 0.2010 0.8669 0.8319
O 0.9163 0.0093 0.8446
P 0.8666 0.9807 0.1733
O 0.4163 0.4907 0.3446
P 0.2637 0.8976 0.1783
O 0.2149 0.3139 0.4126
O 0.2320 0.7941 0.2522
O 0.2875 0.5974 0.5868
Ba 0.5146 0.8902 0.3677
O 0.7680 0.2059 0.7478
O 0.0766 0.4985 0.3076
P 0.7363 0.1024 0.8217
O 0.0837 0.9907 0.1554
O 0.7990 0.1331 0.1681
O 0.3301 0.6069 0.7538
P 0.8727 0.8400 0.5606
O 0.1498 0.1552 0.5377
O 0.7125 0.4026 0.4132
P 0.3727 0.6600 0.0606
O 0.9234 0.5015 0.6924
P 0.7637 0.6024 0.6783
Ba 0.4854 0.1098 0.6323
P 0.2651 0.7531 0.5422
O 0.7701 0.2756 0.5535
O 0.3034 0.5387 0.1146
Ba 0.0146 0.6098 0.8677
O 0.2680 0.2941 0.2478
P 0.1273 0.1600 0.4394
P 0.1334 0.0193 0.8267
O 0.0865 0.8164 0.5889
O 0.7010 0.6331 0.3319
O 0.4249 0.8497 0.5634
O 0.8034 0.9613 0.6146
Ca 0.0024 0.2651 0.6557

=====

| no. | energy (eV/atom) | V (Å³/atom) |
| --- | --- | --- |
| 1 | -32.12 | 18.48 |
| 2 | -16.08 | 13.02 |
| 3 | -49.41 | 27.22 |
| 4 | -36.25 | 19.61 |
| 5 | -57.60 | 16.87 |
| 6 | -41.48 | 17.71 |
| 7 | -30.98 | 19.13 |
| 8 | -59.33 | 18.73 |
| 9 | -23.52 | 19.28 |
| 10 | -55.32 | 30.06 |
| 11 | -11.99 | 14.25 |